VASP calculation (PBE-GGA) on a relaxed Cs2PbBr2F2 crystal.

## Properties
Space-group type: I4/mmm (139)
Calculated volume in Å³/cell: 464.08
Uncorrected energy in eV per atom: -3.815
ΔE_f (raw) in eV/atom: -2.029
Total magnetic moment in Bohr magnetons per cell: 0.00

a b c (Å): 5.030 5.030 18.339
angles (deg): 90.00 90.00 90.00
Element x y z (fractional)
1 Cs 0.000 0.000 0.128
2 Cs 0.000 0.000 0.872
3 Cs 0.500 0.500 0.372
4 Cs 0.500 0.500 0.628
5 Pb 0.000 0.000 0.500
6 Pb 0.500 0.500 0.000
7 Br 0.000 0.000 0.333
8 Br 0.000 0.000 0.667
9 Br 0.500 0.500 0.167
10 Br 0.500 0.500 0.833
11 F 0.000 0.500 0.000
12 F 0.000 0.500 0.500
13 F 0.500 0.000 0.000
14 F 0.500 0.000 0.500